w.
# CuAgIr2

An optimized crystal structure of CuAgIr2 (GGA-PBE, the Alexandria database).

Lattice parameters (Å, degrees): 2.7062 2.7062 8.0634 90.00 90.00 90.00
With the nearest neighbours (Å) after each atom.
Space group P4/mmm (No. 123)
Symmetry-distinct sites (fractional):
1 Cu 0.0000 0.0000 0.0000 (multiplicity 1)  8 Ir 2.65, 4 Cu 2.71
2 Ag 0.0000 0.0000 0.5000 (multiplicity 1)  4 Ag 2.71, 8 Ir 2.92
3 Ir 0.5000 0.5000 0.2270 (multiplicity 2)  4 Cu 2.65, 4 Ir 2.71, 4 Ag 2.92

=====

x.
# CuAgIr2

An optimized crystal structure of CuAgIr2 (GGA-PBE, the Alexandria database).

Lattice parameters (Å, degrees): 2.7686 3.8300 5.6671 90.00 90.16 90.00
With the nearest neighbours (Å) after each atom.
Space group Pm (No. 6)
Symmetry-distinct sites (fractional):
1 Cu 0.0000 0.0000 0.0000 (multiplicity 1)  5 Ir 2.61-2.81, 4 Ag 2.70, 2 Cu 2.77
2 Ag 0.4992 0.5000 0.7683 (multiplicity 1)  4 Cu 2.70, 2 Ag 2.77, 6 Ir 2.83-2.94
3 Ir 0.4982 0.5000 0.2682 (multiplicity 1)  6 Ir 2.60-2.77, 4 Cu 2.80-2.81, 2 Ag 2.83
4 Ir 0.9986 0.0000 0.4607 (multiplicity 1)  6 Ir 2.60-2.77, 1 Cu 2.61

=====

y.
# CuAgIr2

An optimized crystal structure of CuAgIr2 (GGA-PBE, the Alexandria database).

Lattice parameters (Å, degrees): 2.6868 4.0318 5.5110 90.00 90.00 90.00
With the nearest neighbours (Å) after each atom.
Space group Pmmm (No. 47)
Symmetry-distinct sites (fractional):
1 Cu 0.0000 0.0000 0.0000 (multiplicity 1)  2 Cu 2.69, 8 Ir 2.73, 2 Ag 2.76
2 Ag 0.0000 0.0000 0.5000 (multiplicity 1)  2 Ag 2.69, 2 Cu 2.76, 8 Ir 2.84
3 Ir 0.5000 0.5000 0.2299 (multiplicity 2)  3 Ir 2.53-2.69, 4 Cu 2.73

=====

z.
# CuAgIr2

An optimized crystal structure of CuAgIr2 (GGA-PBE, the Alexandria database).

Lattice parameters (Å, degrees): 6.2015 6.2015 6.2015 90.00 90.00 90.00
With the nearest neighbours (Å) after each atom.
Space group F-43m (No. 216)
Symmetry-distinct sites (fractional):
1 Cu 0.0000 0.0000 0.0000 (multiplicity 4)  4 Ir 2.69, 4 Ag 2.69
2 Ag 0.2500 0.2500 0.7500 (multiplicity 4)  4 Cu 2.69, 4 Ir 2.69
3 Ir 0.0000 0.0000 0.5000 (multiplicity 4)  4 Ir 2.69, 4 Ag 2.69
4 Ir 0.2500 0.2500 0.2500 (multiplicity 4)  4 Cu 2.69, 4 Ir 2.69

=====

Which structure wins on stability? x wins.

=====

w.
# CuAgIr2

An optimized crystal structure of CuAgIr2 (GGA-PBE, the Alexandria database).

Lattice parameters (Å, degrees): 2.8072 4.6523 9.1771 90.00 90.00 90.00
With the nearest neighbours (Å) after each atom.
Space group Imm2 (No. 44)
Symmetry-distinct sites (fractional):
1 Cu 0.0000 0.0000 0.0000 (multiplicity 2)  6 Ir 2.63-2.72, 2 Ag 2.70, 2 Cu 2.81
2 Ag 0.0000 0.5000 0.2484 (multiplicity 2)  2 Cu 2.70, 6 Ir 2.72-2.84, 2 Ag 2.81
3 Ir 0.0000 0.0000 0.4789 (multiplicity 2)  4 Ir 2.58-2.81, 4 Cu 2.72, 2 Ag 2.84
4 Ir 0.0000 0.5000 0.7429 (multiplicity 2)  4 Ir 2.58-2.81, 2 Cu 2.63, 4 Ag 2.72

=====

x.
# CuAgIr2

An optimized crystal structure of CuAgIr2 (GGA-PBE, the Alexandria database).

Lattice parameters (Å, degrees): 9.6756 2.7374 4.6352 90.00 105.53 90.00
With the nearest neighbours (Å) after each atom.
Space group C2/m (No. 12)
Symmetry-distinct sites (fractional):
1 Cu 0.0000 0.0000 0.0000 (multiplicity 2)  4 Ir 2.60, 4 Ag 2.69, 2 Cu 2.74
2 Ag 0.0000 0.5000 0.5000 (multiplicity 2)  4 Cu 2.69, 2 Ag 2.74, 6 Ir 2.83-2.90
3 Ir 0.2314 0.5000 0.2332 (multiplicity 4)  2 Cu 2.60, 6 Ir 2.66-2.76, 3 Ag 2.83-2.90

=====

y.
# CuAgIr2

An optimized crystal structure of CuAgIr2 (GGA-PBE, the Alexandria database).

Lattice parameters (Å, degrees): 2.7004 4.7092 4.7175 90.00 90.76 90.00
With the nearest neighbours (Å) after each atom.
Space group P2/m (No. 10)
Symmetry-distinct sites (fractional):
1 Cu 0.0000 0.0000 0.0000 (multiplicity 1)  4 Ir 2.70, 2 Cu 2.70, 4 Ag 2.70-2.73
2 Ag 0.5000 0.0000 0.5000 (multiplicity 1)  2 Ag 2.70, 4 Cu 2.70-2.73, 4 Ir 2.75
3 Ir 0.2423 0.5000 0.7607 (multiplicity 2)  6 Ir 2.62-2.84, 2 Cu 2.70, 2 Ag 2.75

=====

z.
# CuAgIr2

An optimized crystal structure of CuAgIr2 (GGA-PBE, the Alexandria database).

Lattice parameters (Å, degrees): 2.7335 2.7335 27.3371 90.00 90.00 120.00
With the nearest neighbours (Å) after each atom.
Space group R-3m (No. 166, hexagonal axes)
Symmetry-distinct sites (fractional):
1 Cu 0.0000 0.0000 0.0000 (multiplicity 3)  6 Ir 2.64, 6 Cu 2.73
2 Ag 0.0000 0.0000 0.5000 (multiplicity 3)  6 Ag 2.73, 6 Ir 2.91
3 Ir 0.0000 0.0000 0.2561 (multiplicity 6)  3 Cu 2.64, 6 Ir 2.73, 3 Ag 2.91

=====

Which structure wins on stability? x wins.